[1]
Here is crystalline LiYRe at its relaxed geometry from Alexandria. Energies are from GGA-PBE.

Summary:
**Crystal system**: trigonal
**Size of the total moment**: 0.0 Bohr magnetons per cell
**E above lowest polymorph**: 0.0000 eV/atom
**Density**: 8.375 g/cm³
**Formation enthalpy at 0 K**: 0.395 eV per atom

a b c (Å): 4.7751 4.7751 2.8321
angles (deg): 90.00 90.00 120.00
Space group P3m1 (No. 156)
One atom of each set of equivalent atoms:
Li: 0.0000 0.0000 0.0000
Y: 0.3333 0.6667 0.4976
Re: 0.6667 0.3333 0.9968

[2]
Here is crystalline LiYRe2 at its relaxed geometry from Alexandria. Energies are from GGA-PBE.

Summary:
**Crystal system**: trigonal
**Size of the total moment**: 0.0 Bohr magnetons per cell
**E above lowest polymorph**: 0.4868 eV/atom
**Density**: 11.302 g/cm³
**Formation enthalpy at 0 K**: 0.665 eV per atom

a b c (Å): 2.8162 2.8162 30.0507
angles (deg): 90.00 90.00 120.00
Space group R-3m (No. 166, hexagonal axes)
One atom of each set of equivalent atoms:
Li: 0.0000 0.0000 0.0000
Y: 0.0000 0.0000 0.5000
Re: 0.0000 0.0000 0.2555

[3]
Here is crystalline LiYRe at its relaxed geometry from Alexandria. Energies are from GGA-PBE.

Summary:
**Crystal system**: tetragonal
**Size of the total moment**: 0.0 Bohr magnetons per cell
**E above lowest polymorph**: 0.1856 eV/atom
**Density**: 8.046 g/cm³
**Formation enthalpy at 0 K**: 0.581 eV per atom

a b c (Å): 2.852 2.852 14.312
angles (deg): 90.00 90.00 90.00
Space group I4mm (No. 107)
One atom of each set of equivalent atoms:
Li: 0.000 0.000 0.000
Y: 0.000 0.000 0.698
Re: 0.000 0.000 0.359